Record 1
This record from Alexandria describes a geometry-optimized NdSm2Ho2Mg structure. The functional is PBE-GGA.

Lattice parameters (Å, degrees): 3.6901 5.5147 18.9641 90.00 90.00 90.00
Sites, in units of the cell vectors:
Nd (0.0000, 0.0000, 0.0000)
Nd (0.5000, 0.5000, 0.5000)
Sm (0.5000, 0.9985, 0.1876)
Sm (0.0000, 0.4985, 0.3124)
Sm (0.5000, 0.0015, 0.8124)
Sm (0.0000, 0.5015, 0.6876)
Ho (0.5000, 0.9986, 0.3681)
Ho (0.5000, 0.0014, 0.6319)
Ho (0.0000, 0.5014, 0.8681)
Ho (0.0000, 0.4986, 0.1319)
Mg (0.5000, 0.5000, 0.0000)
Mg (0.0000, 0.0000, 0.5000)

- formation enthalpy at 0 K (eV per atom) = 0.0930
- space-group type = Pnnm, No. 58
- DOS(E_F) (states/eV per cell) = 17.8
- total magnetic moment (μB per atom) = 0.000
- crystal system = orthorhombic

***

Record 2
This record from Alexandria describes a geometry-optimized LiBeZnPtI structure. The functional is PBE-GGA.

Lattice parameters (Å, degrees): 4.2689 4.2689 6.7202 90.00 90.00 120.00
Sites, in units of the cell vectors:
Li (0.0000, 0.0000, 0.6173)
Be (0.3333, 0.6667, 0.1944)
Zn (0.6667, 0.3333, 0.2775)
Pt (0.0000, 0.0000, 0.2393)
I (0.3333, 0.6667, 0.8071)

- relative energy among the computed polymorphs (eV per atom) = 0.043
- space-group type = P3m1, No. 156
- DOS(E_F) (states/eV per cell) = 0.4
- total magnetic moment (μB per atom) = 0.000
- energy relative to the elements, uncorrected (eV/atom) = -0.4131
- crystal system = trigonal

***

Record 3
This record from Alexandria describes a geometry-optimized ScFe4Ir structure. The functional is PBE-GGA.

Lattice parameters (Å, degrees): 4.8466 4.8466 4.8466 60.00 60.00 60.00
Sites, in units of the cell vectors:
Sc (0.0000, 0.0000, 0.0000)
Fe (0.8733, 0.3756, 0.3756)
Fe (0.3756, 0.3756, 0.8733)
Fe (0.3756, 0.8733, 0.3756)
Fe (0.3756, 0.3756, 0.3756)
Ir (0.7500, 0.7500, 0.7500)

- formation enthalpy at 0 K (eV per atom) = -0.2027
- space-group type = F-43m, No. 216
- DOS(E_F) (states/eV per cell) = 5.1
- total magnetic moment (μB per atom) = 1.645
- crystal system = cubic

***

Record 4
This record from Alexandria describes a geometry-optimized MgIn15Pb4 structure. The functional is PBE-GGA.

Lattice parameters (Å, degrees): 4.9836 4.9836 22.3024 90.00 90.00 90.00
Sites, in units of the cell vectors:
Mg (0.0000, 0.0000, 0.0000)
In (0.5000, 0.5000, 0.0000)
In (0.5000, 0.5000, 0.1950)
In (0.5000, 0.5000, 0.3979)
In (0.5000, 0.5000, 0.6021)
In (0.5000, 0.5000, 0.8050)
In (0.5000, 0.0000, 0.0919)
In (0.5000, 0.0000, 0.2962)
In (0.5000, 0.0000, 0.5000)
In (0.5000, 0.0000, 0.7038)
In (0.5000, 0.0000, 0.9081)
In (0.0000, 0.5000, 0.0919)
In (0.0000, 0.5000, 0.2962)
In (0.0000, 0.5000, 0.5000)
In (0.0000, 0.5000, 0.7038)
In (0.0000, 0.5000, 0.9081)
Pb (0.0000, 0.0000, 0.1927)
Pb (0.0000, 0.0000, 0.3976)
Pb (0.0000, 0.0000, 0.6024)
Pb (0.0000, 0.0000, 0.8073)

- formation enthalpy at 0 K (eV per atom) = 0.0111
- space-group type = P4/mmm, No. 123
- DOS(E_F) (states/eV per cell) = 5.7
- total magnetic moment (μB per atom) = 0.000
- crystal system = tetragonal